# KTeBr2Cl

A relaxed structure of KTeBr2Cl (PBE-GGA, Alexandria via LeMat-Bulk).

Output
V in A^3/atom: 37.69
Magnetic moment in μB per cell: 0.00
Energy relative to the elements, uncorrected in eV/atom: -0.7905
Density in kg/m3: 3190
Uncorrected energy in eV/cell: -13.384
Density of states at the Fermi level in states/eV/atom: 0.53

a = 5.9537 Å, b = 5.9537 Å, c = 5.3157 Å
α = 90.00°, β = 90.00°, γ = 90.00°
With the nearest neighbours (Å) after each atom.
Fractional positions:
Cl1 0.0000 0.0000 0.5000  2 Te 2.66
Te1 0.0000 0.0000 0.0000  2 Cl 2.66
Br1 0.5000 0.0000 0.0000  2 Te 2.98
Br2 0.0000 0.5000 0.0000  2 Te 2.98
K1 0.5000 0.5000 0.5000  8 Br 3.99, 4 Cl 4.21


# LaCrCl

A relaxed structure of LaCrCl (PBE-GGA, Alexandria via LeMat-Bulk).

Output
V in A^3/atom: 29.44
Magnetic moment in μB per cell: 4.00
Energy relative to the elements, uncorrected in eV/atom: -0.2561
Density in kg/m3: 4255
Uncorrected energy in eV/cell: -17.166
Density of states at the Fermi level in states/eV/atom: 0.23

a = 3.8465 Å, b = 3.8465 Å, c = 6.8935 Å
α = 90.00°, β = 90.00°, γ = 120.00°
With the nearest neighbours (Å) after each atom.
Fractional positions:
Cl1 0.0000 0.0000 0.9679  3 La 2.98
Cr1 0.6667 0.3333 0.3525  3 La 3.16, 3 Cl 3.46
La1 0.3333 0.6667 0.6796  3 Cl 2.98, 3 Cr 3.16


# TbY2Th

A relaxed structure of TbY2Th (PBE-GGA, Alexandria via LeMat-Bulk).

Output
V in A^3/atom: 32.46
Magnetic moment in μB per cell: 0.00
Density in kg/m3: 7273
Uncorrected energy in eV/cell: -49.643
Density of states at the Fermi level in states/eV/atom: 1.63

a = 3.5518 Å, b = 6.8077 Å, c = 11.6845 Å
α = 95.26°, β = 107.71°, γ = 74.81°
With the nearest neighbours (Å) after each atom.
Fractional positions:
Th1 0.1440 0.3064 0.3150  5 Th 3.35-3.71, 6 Y 3.36-3.74
Th2 0.3690 0.7985 0.2874  5 Th 3.35-3.71, 6 Y 3.36-3.74
Y1 0.7572 0.5426 0.5465  3 Th 3.36-3.48, 3 Tb 3.39-3.56, 5 Y 3.48-3.57
Y2 0.7556 0.5623 0.0558  3 Th 3.36-3.48, 3 Tb 3.39-3.56, 5 Y 3.48-3.57
Y3 0.0280 0.0134 0.5534  5 Y 3.48-3.57, 4 Tb 3.69-3.73, 4 Th 3.71-3.75
Y4 0.4848 0.0915 0.0489  5 Y 3.48-3.57, 4 Tb 3.69-3.73, 4 Th 3.71-3.75
Tb1 0.6115 0.3139 0.7867  7 Y 3.39-3.73, 5 Tb 3.45-3.61
Tb2 0.9013 0.7911 0.8156  7 Y 3.39-3.73, 5 Tb 3.45-3.61


# MgNpPa2N5

A relaxed structure of MgNpPa2N5 (PBE-GGA, Alexandria via LeMat-Bulk).

Output
V in A^3/atom: 14.33
Magnetic moment in μB per cell: 7.16
Energy relative to the elements, uncorrected in eV/atom: -1.2251
Density in kg/m3: 10219
Uncorrected energy in eV/cell: -172.360
Density of states at the Fermi level in states/eV/atom: 0.83

a = 3.4741 Å, b = 6.9835 Å, c = 10.9732 Å
α = 90.00°, β = 90.00°, γ = 104.40°
With the nearest neighbours (Å) after each atom.
Fractional positions:
N1 0.6256 0.2512 0.5736  1 Mg 2.10, 1 Np 2.20, 2 Pa 2.29
N2 0.3744 0.7488 0.0736  1 Mg 2.10, 1 Np 2.20, 2 Pa 2.29
N3 0.0735 0.1470 0.0520  2 Mg 2.09, 1 Np 2.17, 1 Pa 2.32
N4 0.9265 0.8530 0.5520  2 Mg 2.09, 1 Np 2.17, 1 Pa 2.32
N5 0.7021 0.4043 0.8350  3 Pa 2.41-2.46, 2 Np 2.46
N6 0.7225 0.4450 0.1417  3 Pa 2.22-2.42, 2 Np 2.39
N7 0.2775 0.5550 0.6417  3 Pa 2.22-2.42, 2 Np 2.39
N8 0.5273 0.0546 0.2901  1 Mg 2.15, 2 Pa 2.30
N9 0.2979 0.5957 0.3350  3 Pa 2.41-2.46, 2 Np 2.46
N10 0.4727 0.9454 0.7901  1 Mg 2.15, 2 Pa 2.30
Pa1 0.8771 0.7542 0.2093  5 N 2.22-2.46
Pa2 0.1229 0.2458 0.7093  5 N 2.22-2.46
Pa3 0.8666 0.7332 0.7498  6 N 2.30-2.42
Pa4 0.1334 0.2668 0.2498  6 N 2.30-2.42
Mg1 0.4896 0.9791 0.4809  4 N 2.09-2.15
Mg2 0.5104 0.0209 0.9809  4 N 2.09-2.15
Np1 0.7740 0.5480 0.4915  4 N 2.17-2.39
Np2 0.2260 0.4520 0.9915  4 N 2.17-2.39